Here is crystalline InFeWO2 at its relaxed geometry from Alexandria. Energies are from PBE+U.

POSCAR file:
```
InFeWO2
1.0
3.901 0.000 0.000
0.000 5.521 0.000
0.000 0.000 3.901
O Fe W In
2 1 1 1
Cartesian
0.000 0.000 1.951 O
1.951 0.000 0.000 O
0.000 0.000 0.000 Fe
0.000 2.761 0.000 W
1.951 2.761 1.951 In
```

## Properties
**Fermi-level density of states**: 0.455 states/eV per atom
**Electronic total energy**: -4.773 eV per atom
**Crystal system**: tetragonal